(1)
# BeCuSb2 (meta-GGA SCAN, single point on PBEsol structure)
data_BeCuSb2
_chemical_formula_sum 'Be1 Cu1 Sb2'
_cell_length_a 3.0921
_cell_length_b 4.8538
_cell_length_c 4.8538
_cell_angle_alpha 94.26
_cell_angle_beta 90.00
_cell_angle_gamma 90.00
_space_group_name_H-M_alt 'P 1'
_space_group_IT_number 1
loop_
_space_group_symop_operation_xyz
'x,y,z'
loop_
_atom_site_label
_atom_site_fract_x
_atom_site_fract_y
_atom_site_fract_z
Sb1 0.0000 0.5000 0.0000
Sb2 0.0000 0.0000 0.5000
Cu1 0.5000 0.5000 0.5000
Be1 0.5000 0.0000 0.0000
# - Final energy: -22.98 eV per atom
# - E_form (uncorrected): 0.535 eV/atom
# - Magnetic moment: 0.000 μB/atom



(2)
# BeCuSb2Te (meta-GGA SCAN, single point on PBEsol structure)
data_BeCuSb2Te
_chemical_formula_sum 'Be1 Cu1 Sb2 Te1'
_cell_length_a 4.7673
_cell_length_b 4.7673
_cell_length_c 4.9678
_cell_angle_alpha 90.00
_cell_angle_beta 90.00
_cell_angle_gamma 90.00
_space_group_name_H-M_alt 'P 1'
_space_group_IT_number 1
loop_
_space_group_symop_operation_xyz
'x,y,z'
loop_
_atom_site_label
_atom_site_fract_x
_atom_site_fract_y
_atom_site_fract_z
Sb1 0.0000 0.5000 0.0000
Sb2 0.5000 0.0000 0.0000
Te1 0.0000 0.0000 0.5000
Cu1 0.5000 0.5000 0.5000
Be1 0.0000 0.0000 0.0000
# - Final energy: -25.49 eV per atom
# - E_form (uncorrected): 0.775 eV/atom
# - Magnetic moment: 0.000 μB/atom